1.
First-principles (GGA-PBEsol) data for a relaxed CaMoPt2 crystal, as listed in the Alexandria database.

Results
**Formation energy from the elements**: -0.2915 eV per atom
**M_tot**: 0.00 μB per cell
**Energy above the lowest structure with this stoichiometry**: 103.3 meV/atom

```
4
Lattice="2.792 0.000 0.000 0.000 4.908 0.044 0.000 -0.055 4.908" Properties=species:S:1:pos:R:3 pbc="T T T"
Mo 1.396 2.427 2.476
Ca 1.396 0.000 0.000
Pt 0.000 2.454 0.022
Pt 0.000 -0.027 2.454
```

2.
First-principles (GGA-PBEsol) data for a relaxed CaMoPt crystal, as listed in the Alexandria database.

Results
**Formation energy from the elements**: 0.6169 eV per atom
**M_tot**: 0.00 μB per cell
**Energy above the lowest structure with this stoichiometry**: 517.9 meV/atom

```
3
Lattice="-1.928 -1.894 3.463 1.250 -4.009 1.289 2.229 -0.505 3.750" Properties=species:S:1:pos:R:3 pbc="T T T"
Mo 1.163 -4.806 6.377
Ca 0.776 -3.204 4.251
Pt 0.000 0.000 0.000
```

3.
First-principles (GGA-PBEsol) data for a relaxed Ca4MoPt crystal, as listed in the Alexandria database.

Results
**Formation energy from the elements**: 1.0264 eV per atom
**M_tot**: 4.07 μB per cell

```
6
Lattice="5.967 0.000 0.000 2.983 5.167 0.000 2.983 1.722 4.872" Properties=species:S:1:pos:R:3 pbc="T T T"
Ca 4.468 2.580 1.824
Ca 5.967 3.445 4.272
Ca 7.466 2.580 1.824
Ca 5.967 5.176 1.824
Mo 8.950 5.167 3.654
Pt 0.000 0.000 0.000
```

4.
First-principles (GGA-PBEsol) data for a relaxed CaMo2PtSe crystal, as listed in the Alexandria database.

Results
**M_tot**: 0.00 μB per cell
**Uncorrected formation energy**: 826.2 meV/atom

```
5
Lattice="4.537 0.000 0.000 0.000 4.537 0.000 0.000 0.000 5.083" Properties=species:S:1:pos:R:3 pbc="T T T"
Mo 0.000 2.268 0.000
Mo 2.268 0.000 0.000
Ca 0.000 0.000 2.542
Se 0.000 0.000 0.000
Pt 2.268 2.268 2.542
```

Raw total energy? In order: -7.25; -6.34; -3.52; -6.47 eV/atom.